Entry 1:
A relaxed structure of Tb4Sm2Tm7, computed with GGA-PBE.

a b c (Å): 9.3436 7.8901 6.1060
angles (deg): 97.48 96.22 65.12
Element x y z (fractional)
Tb (0.1529, 0.0785, 0.5369)
Tb (0.8471, 0.9215, 0.4630)
Tb (0.7704, 0.3854, 0.6927)
Tb (0.2296, 0.6146, 0.3073)
Sm (0.6164, 0.3065, 0.1545)
Sm (0.3836, 0.6935, 0.8455)
Tm (0.0765, 0.5383, 0.7695)
Tm (0.9235, 0.4617, 0.2305)
Tm (0.0000, 0.0000, 0.0000)
Tm (0.6925, 0.8456, 0.9237)
Tm (0.3075, 0.1544, 0.0763)
Tm (0.5394, 0.7711, 0.3842)
Tm (0.4606, 0.2289, 0.6158)

Theoretical density (kg/m3): 8706
Fermi-level density of states (states/eV per cell): 17.55
Space group: P-1
E_tot (hartree per atom): -0.1667
Magnetization (μB per atom): 0.00
Energy relative to the elements (eV/atom): 0.0218



Entry 2:
A relaxed structure of TbSm6Tm2, computed with GGA-PBE.

a b c (Å): 6.0776 7.5577 7.5577
angles (deg): 60.00 89.98 89.98
Element x y z (fractional)
Tb (0.0000, 0.0000, 0.0000)
Sm (0.2885, 0.3782, 0.8121)
Sm (0.2879, 0.8113, 0.8113)
Sm (0.2885, 0.8121, 0.3782)
Sm (0.7115, 0.6218, 0.1879)
Sm (0.7121, 0.1887, 0.1887)
Sm (0.7115, 0.1879, 0.6218)
Tm (0.7828, 0.6661, 0.6661)
Tm (0.2172, 0.3339, 0.3339)

Theoretical density (kg/m3): 7727
Fermi-level density of states (states/eV per cell): 13.69
Space group: C2/m
E_tot (hartree per atom): -0.1632
Magnetization (μB per atom): 0.04
Energy relative to the elements (eV/atom): 0.2147